1.
Density functional theory data (PBE) for KZr2SbSe after structural relaxation.

a b c (Å): 5.4658 5.4658 5.9760
angles (deg): 90.00 90.00 90.00
With the nearest neighbours (Å) after each atom.
Fractional positions:
1 K 0.0000 0.0000 0.0000  4 Se 3.86, 8 Zr 4.05
2 Zr 0.0000 0.5000 0.5000  2 Sb 2.73
3 Zr 0.5000 0.0000 0.5000  2 Sb 2.73
4 Sb 0.5000 0.5000 0.5000  4 Zr 2.73, 2 Se 2.99
5 Se 0.5000 0.5000 0.0000  2 Sb 2.99

Output
Crystal system: tetragonal
Formation energy (no corrections) in eV/atom: 0.587
Space group: P4/mmm, No. 123

---

2.
Density functional theory data (PBE) for Zr6AlOs5 after structural relaxation.

a b c (Å): 8.0775 8.0775 8.0775
angles (deg): 146.40 131.73 60.10
With the nearest neighbours (Å) after each atom.
Fractional positions:
1 Zr 0.0784 0.3312 0.7472  7 Os 2.83-2.87, 1 Al 2.89
2 Zr 0.2439 0.0000 0.2439  6 Os 2.84-2.85, 2 Al 2.88
3 Zr 0.4159 0.6688 0.7472  7 Os 2.83-2.87, 1 Al 2.89
4 Zr 0.5841 0.3312 0.2528  7 Os 2.83-2.87, 1 Al 2.89
5 Zr 0.7561 0.0000 0.7561  6 Os 2.84-2.85, 2 Al 2.88
6 Zr 0.9216 0.6688 0.2528  7 Os 2.83-2.87, 1 Al 2.89
7 Al 0.5000 0.5000 0.0000  8 Zr 2.88-2.89
8 Os 0.0000 0.5000 0.5000  8 Zr 2.84-2.87
9 Os 0.1676 0.1676 0.0000  8 Zr 2.83-2.85
10 Os 0.3360 0.8360 0.5000  8 Zr 2.85-2.87
11 Os 0.6640 0.1640 0.5000  8 Zr 2.85-2.87
12 Os 0.8324 0.8324 0.0000  8 Zr 2.83-2.85

Output
Crystal system: orthorhombic
Formation energy in eV per atom: -0.476
Space group: Immm, No. 71

---

3.
Density functional theory data (PBE) for LiBeCuIr after structural relaxation.

a b c (Å): 3.9553 3.9553 3.9553
angles (deg): 60.00 60.00 60.00
With the nearest neighbours (Å) after each atom.
Fractional positions:
1 Li 0.0000 0.0000 0.0000  4 Cu 2.42, 4 Ir 2.42
2 Be 0.5000 0.5000 0.5000  4 Ir 2.42, 4 Cu 2.42
3 Cu 0.2500 0.2500 0.2500  4 Be 2.42, 4 Li 2.42
4 Ir 0.7500 0.7500 0.7500  4 Be 2.42, 4 Li 2.42

Output
Crystal system: cubic
Formation energy in eV per atom: -0.204
Space group: F-43m, No. 216

---

4.
Density functional theory data (PBE) for LaTb2WN4 after structural relaxation.

a b c (Å): 6.2700 6.2700 12.0990
angles (deg): 90.00 90.00 148.06
With the nearest neighbours (Å) after each atom.
Fractional positions:
1 La 0.0829 0.9171 0.7500  2 N 2.58
2 La 0.9171 0.0829 0.2500  2 N 2.58
3 Tb 0.3708 0.6292 0.5388  5 N 2.32-2.56
4 Tb 0.3708 0.6292 0.9612  5 N 2.32-2.56
5 Tb 0.6292 0.3708 0.0388  5 N 2.32-2.56
6 Tb 0.6292 0.3708 0.4612  5 N 2.32-2.56
7 W 0.1741 0.8259 0.2500  4 N 1.90-2.09
8 W 0.8259 0.1741 0.7500  4 N 1.90-2.09
9 N 0.0000 0.0000 0.0000  4 Tb 2.37
10 N 0.0000 0.0000 0.5000  4 Tb 2.37
11 N 0.2628 0.7372 0.1198  1 W 1.90
12 N 0.2628 0.7372 0.3802  1 W 1.90
13 N 0.4241 0.5759 0.7500  2 W 2.09
14 N 0.5759 0.4241 0.2500  2 W 2.09
15 N 0.7372 0.2628 0.6198  1 W 1.90
16 N 0.7372 0.2628 0.8802  1 W 1.90

Output
Crystal system: orthorhombic
Formation energy (no corrections) in eV/atom: -1.136
Space group: Cmcm, No. 63

---

5.
Density functional theory data (PBE) for RbTbTlO3 after structural relaxation.

a b c (Å): 7.0906 3.5368 11.1085
angles (deg): 90.00 108.41 90.00
With the nearest neighbours (Å) after each atom.
Fractional positions:
1 Rb 0.0021 0.2500 0.2784  5 O 2.84-3.01
2 Rb 0.9979 0.7500 0.7216  5 O 2.84-3.01
3 Tb 0.4723 0.7500 0.6260  6 O 2.23-2.43
4 Tb 0.5277 0.2500 0.3740  6 O 2.23-2.43
5 Tl 0.4452 0.7500 0.1017  3 O 2.23-2.29
6 Tl 0.5548 0.2500 0.8983  3 O 2.23-2.29
7 O 0.3009 0.2500 0.1583  2 Tl 2.23, 1 Tb 2.43
8 O 0.3207 0.2500 0.7012  1 Tl 2.29, 2 Tb 2.36
9 O 0.3463 0.7500 0.4151  3 Tb 2.23-2.32
10 O 0.6537 0.2500 0.5849  3 Tb 2.23-2.32
11 O 0.6793 0.7500 0.2988  1 Tl 2.29, 2 Tb 2.36
12 O 0.6991 0.7500 0.8417  2 Tl 2.23, 1 Tb 2.43

Output
Crystal system: monoclinic
Formation energy (no corrections) in eV/atom: -1.943
Space group: P2_1/m, No. 11

---

6.
Density functional theory data (PBE) for LiBeP after structural relaxation.

a b c (Å): 4.5435 4.5435 4.5435
angles (deg): 47.34 47.34 47.34
With the nearest neighbours (Å) after each atom.
Fractional positions:
1 Li 0.0000 0.0000 0.0000  4 P 2.51-2.59, 3 Be 2.69
2 Be 0.4715 0.4715 0.4715  3 P 2.11
3 P 0.7920 0.7920 0.7920  3 Be 2.11

Output
Crystal system: trigonal
Formation energy in eV per atom: -0.519
Space group: R3m, No. 160

---

7.
Density functional theory data (PBE) for Tb2Er6Tm3Mg after structural relaxation.

a b c (Å): 6.0460 6.0460 11.5720
angles (deg): 95.03 95.03 120.02
With the nearest neighbours (Å) after each atom.
Fractional positions:
1 Tb 0.1664 0.8336 0.0000  3 Tb 3.48-3.49, 3 Mg 3.49, 6 Er 3.49-3.50
2 Tb 0.8336 0.1664 0.0000  3 Tb 3.48-3.49, 3 Mg 3.49, 6 Er 3.49-3.50
3 Er 0.0843 0.4171 0.7496  3 Tm 3.48-3.49, 6 Er 3.49, 1 Mg 3.49, 2 Tb 3.49-3.50
4 Er 0.2499 0.2499 0.2513  3 Tm 3.47-3.48, 6 Er 3.49, 2 Tb 3.50, 1 Mg 3.50
5 Er 0.4171 0.0843 0.7496  3 Tm 3.48-3.49, 6 Er 3.49, 1 Mg 3.49, 2 Tb 3.49-3.50
6 Er 0.5829 0.9157 0.2504  3 Tm 3.48-3.49, 6 Er 3.49, 1 Mg 3.49, 2 Tb 3.49-3.50
7 Er 0.7501 0.7501 0.7487  3 Tm 3.47-3.48, 6 Er 3.49, 2 Tb 3.50, 1 Mg 3.50
8 Er 0.9157 0.5829 0.2504  3 Tm 3.48-3.49, 6 Er 3.49, 1 Mg 3.49, 2 Tb 3.49-3.50
9 Tm 0.0000 0.0000 0.5000  6 Er 3.48, 6 Tm 3.49-3.50
10 Tm 0.3342 0.6658 0.5000  6 Er 3.47-3.49, 6 Tm 3.47-3.50
11 Tm 0.6658 0.3342 0.5000  6 Er 3.47-3.49, 6 Tm 3.47-3.50
12 Mg 0.5000 0.5000 0.0000  6 Tb 3.49, 6 Er 3.49-3.50

Output
Crystal system: monoclinic
Formation energy in eV per atom: 0.030
Space group: C2/m, No. 12

---

8.
Density functional theory data (PBE) for CsK3Te2 after structural relaxation.

a b c (Å): 5.5131 10.6219 9.1436
angles (deg): 90.00 90.00 90.00
With the nearest neighbours (Å) after each atom.
Fractional positions:
1 Cs 0.0000 0.0696 0.0000  5 Te 3.85-4.06, 4 K 4.15-4.23
2 Cs 0.0000 0.9304 0.5000  5 Te 3.85-4.06, 4 K 4.15-4.23
3 K 0.0000 0.3251 0.6188  4 Te 3.42-3.53
4 K 0.0000 0.6749 0.1188  4 Te 3.42-3.53
5 K 0.5000 0.1810 0.3259  4 Te 3.50-3.59
6 K 0.5000 0.4252 0.9459  5 Te 3.68-4.01
7 K 0.5000 0.5748 0.4459  5 Te 3.68-4.01
8 K 0.5000 0.8190 0.8259  4 Te 3.50-3.59
9 Te 0.0000 0.3691 0.2363  4 K 3.42-3.53
10 Te 0.0000 0.6309 0.7363  4 K 3.42-3.53
11 Te 0.5000 0.1430 0.7127  5 K 3.48-3.68, 2 Cs 3.89
12 Te 0.5000 0.8570 0.2127  5 K 3.48-3.68, 2 Cs 3.89

Output
Crystal system: orthorhombic
Formation energy (no corrections) in eV/atom: -1.022
Space group: Pmc2_1, No. 26

---

9.
Density functional theory data (PBE) for Mg2GaPb2 after structural relaxation.

a b c (Å): 7.7726 7.7726 7.7726
angles (deg): 146.11 146.11 48.68
With the nearest neighbours (Å) after each atom.
Fractional positions:
1 Mg 0.0986 0.0986 0.0000  1 Mg 2.79, 4 Pb 3.12
2 Mg 0.9014 0.9014 0.0000  1 Mg 2.79, 4 Pb 3.12
3 Ga 0.5000 0.5000 0.0000  8 Mg 3.49
4 Pb 0.2500 0.7500 0.5000  4 Mg 3.12, 4 Pb 3.20
5 Pb 0.7500 0.2500 0.5000  4 Mg 3.12, 4 Pb 3.20

Output
Crystal system: tetragonal
Energy above the lowest structure with this stoichiometry in kJ/mol of atoms: 13.80
Formation energy in eV per atom: 0.206
Space group: I4/mmm, No. 139

---

10.
Density functional theory data (PBE) for NaTmTlAu after structural relaxation.

a b c (Å): 5.0945 5.0945 5.0945
angles (deg): 60.00 60.00 60.00
With the nearest neighbours (Å) after each atom.
Fractional positions:
1 Na 0.0000 0.0000 0.0000  4 Tl 3.12, 4 Au 3.12
2 Tm 0.5000 0.5000 0.5000  4 Tl 3.12, 4 Au 3.12
3 Tl 0.7500 0.7500 0.7500  4 Na 3.12, 4 Tm 3.12
4 Au 0.2500 0.2500 0.2500  4 Na 3.12, 4 Tm 3.12

Output
Crystal system: cubic
Formation energy in eV per atom: -0.343
Space group: F-43m, No. 216

---

11.
Density functional theory data (PBE) for Pr3Nd2Y6Tm after structural relaxation.

a b c (Å): 6.2748 6.2748 11.9221
angles (deg): 95.02 95.02 119.99
With the nearest neighbours (Å) after each atom.
Fractional positions:
1 Pr 0.0000 0.0000 0.0000  6 Pr 3.62, 6 Y 3.62
2 Pr 0.3331 0.6669 0.0000  6 Pr 3.62-3.63, 6 Y 3.62-3.63
3 Pr 0.6669 0.3331 0.0000  6 Pr 3.62-3.63, 6 Y 3.62-3.63
4 Nd 0.1663 0.8337 0.5000  6 Y 3.58-3.59, 3 Nd 3.61-3.63, 3 Tm 3.62-3.63
5 Nd 0.8337 0.1663 0.5000  6 Y 3.58-3.59, 3 Nd 3.61-3.63, 3 Tm 3.62-3.63
6 Y 0.0851 0.4177 0.2522  1 Tm 3.58, 2 Nd 3.58-3.59, 6 Y 3.61-3.63, 3 Pr 3.62-3.63
7 Y 0.2499 0.2499 0.7482  1 Tm 3.58, 2 Nd 3.59, 6 Y 3.61-3.63, 3 Pr 3.62
8 Y 0.4177 0.0851 0.2522  1 Tm 3.58, 2 Nd 3.58-3.59, 6 Y 3.61-3.63, 3 Pr 3.62-3.63
9 Y 0.5823 0.9149 0.7478  1 Tm 3.58, 2 Nd 3.58-3.59, 6 Y 3.61-3.63, 3 Pr 3.62-3.63
10 Y 0.7501 0.7501 0.2518  1 Tm 3.58, 2 Nd 3.59, 6 Y 3.61-3.63, 3 Pr 3.62
11 Y 0.9149 0.5823 0.7478  1 Tm 3.58, 2 Nd 3.58-3.59, 6 Y 3.61-3.63, 3 Pr 3.62-3.63
12 Tm 0.5000 0.5000 0.5000  6 Y 3.58, 6 Nd 3.62-3.63

Output
Crystal system: monoclinic
Formation energy in eV per atom: 0.012
Space group: C2/m, No. 12

---

12.
Density functional theory data (PBE) for Y2NiW after structural relaxation.

a b c (Å): 9.2919 9.2919 9.2919
angles (deg): 20.17 20.17 20.17
With the nearest neighbours (Å) after each atom.
Fractional positions:
1 Y 0.2433 0.2433 0.2433  3 Ni 2.81, 3 W 3.09
2 Y 0.7567 0.7567 0.7567  3 Ni 2.81, 3 W 3.09
3 Ni 0.5000 0.5000 0.5000  6 Y 2.81
4 W 0.0000 0.0000 0.0000  6 Y 3.09, 6 W 3.25

Output
Crystal system: trigonal
Energy above the lowest structure with this stoichiometry in kJ/mol of atoms: 34.50
Formation energy in eV per atom: 0.490
Space group: R-3m, No. 166

---

Number 1: N(E_F) 6.7 states/eV per cell. Number 2: N(E_F) 4.0 states/eV per cell. Number 3: N(E_F) 1.3 states/eV per cell. Number 4: N(E_F) 5.1 states/eV per cell. Number 5: N(E_F) 1.5 states/eV per cell. Number 6: N(E_F) 0.0 states/eV per cell. Number 7: N(E_F) 17.4 states/eV per cell. Number 8: N(E_F) 0.0 states/eV per cell. Number 9: N(E_F) 2.7 states/eV per cell. Number 10: N(E_F) 2.3 states/eV per cell. Number 11: N(E_F) 15.2 states/eV per cell. Number 12: N(E_F) 4.7 states/eV per cell.